Version A
CaAcGePt | PBE | relaxed

Computed properties:
The size of the total moment comes out at 0.00 μB/f.u. The density is 8.6 g/cm3.

Lattice parameters (Å, degrees): 7.4509 7.4509 7.4509 90.00 90.00 90.00
With the nearest neighbours (Å) after each atom.
Space group F-43m (No. 216)
Symmetry-distinct sites (fractional):
Ca 0.0000 0.0000 0.0000 [4 per cell]  4 Ge 3.23, 4 Pt 3.23
Ac 0.0000 0.0000 0.5000 [4 per cell]  4 Pt 3.23, 4 Ge 3.23
Ge 0.2500 0.2500 0.7500 [4 per cell]  4 Ac 3.23, 4 Ca 3.23
Pt 0.2500 0.2500 0.2500 [4 per cell]  4 Ac 3.23, 4 Ca 3.23

---

Version B
CaAcGePt | PBE | relaxed

Computed properties:
The size of the total moment comes out at 0.00 μB/f.u. The density is 8.3 g/cm3.

Lattice parameters (Å, degrees): 4.3031 4.4059 11.3379 90.00 90.00 90.00
With the nearest neighbours (Å) after each atom.
Space group Amm2 (No. 38)
Symmetry-distinct sites (fractional):
Ca 0.0000 0.0000 0.0000 [2 per cell]  4 Ge 3.17, 3 Pt 3.22-3.32
Ac 0.5000 0.0000 0.2802 [2 per cell]  4 Pt 3.19, 3 Ge 3.24-3.28
Ge 0.5000 0.0000 0.5663 [2 per cell]  2 Pt 2.68
Pt 0.0000 0.0000 0.7069 [2 per cell]  2 Ge 2.68

---

What should be chosen as the most stable of them? Choose version B.

---

Version A
CaAcGeRh | PBE | relaxed

Computed properties:
The size of the total moment comes out at 0.00 μB/f.u. The density is 7.3 g/cm3.

Lattice parameters (Å, degrees): 7.3904 7.3904 7.3904 90.00 90.00 90.00
With the nearest neighbours (Å) after each atom.
Space group F-43m (No. 216)
Symmetry-distinct sites (fractional):
Ca 0.0000 0.0000 0.0000 [4 per cell]  4 Ge 3.20, 4 Rh 3.20
Ac 0.0000 0.0000 0.5000 [4 per cell]  4 Ge 3.20, 4 Rh 3.20
Ge 0.2500 0.2500 0.7500 [4 per cell]  4 Ac 3.20, 4 Ca 3.20
Rh 0.2500 0.2500 0.2500 [4 per cell]  4 Ac 3.20, 4 Ca 3.20

---

Version B
CaAcGeRh | PBE | relaxed

Computed properties:
The size of the total moment comes out at 0.00 μB/f.u. The density is 5.9 g/cm3.

Lattice parameters (Å, degrees): 4.3362 4.3362 22.8856 90.00 90.00 120.00
With the nearest neighbours (Å) after each atom.
Space group R3m (No. 160, hexagonal axes)
Symmetry-distinct sites (fractional):
Ca 0.0000 0.0000 0.0000 [3 per cell]  3 Ge 3.04, 3 Rh 3.25
Ac 0.0000 0.0000 0.8315 [3 per cell]  3 Rh 3.08, 3 Ge 3.29
Ge 0.0000 0.0000 0.5914 [3 per cell]  3 Rh 2.53
Rh 0.0000 0.0000 0.2428 [3 per cell]  3 Ge 2.53

---

What should be chosen as the most stable of them? Choose version B.

---

Version A
CaAcSiGe | PBE | relaxed

Computed properties:
The size of the total moment comes out at 0.00 μB/f.u. The density is 5.6 g/cm3.

Lattice parameters (Å, degrees): 4.0737 4.6362 11.4575 90.00 90.00 90.00
With the nearest neighbours (Å) after each atom.
Space group Amm2 (No. 38)
Symmetry-distinct sites (fractional):
Ca 0.0000 0.0000 0.0000 [2 per cell]  4 Ge 3.16, 3 Si 3.27-3.42
Ac 0.5000 0.0000 0.2786 [2 per cell]  4 Si 3.21, 3 Ge 3.24-3.40
Si 0.0000 0.0000 0.7017 [2 per cell]  2 Ge 2.60
Ge 0.5000 0.0000 0.5612 [2 per cell]  2 Si 2.60

---

Version B
CaAcSiGe | PBE | relaxed

Computed properties:
The size of the total moment comes out at 0.00 μB/f.u. The density is 5.7 g/cm3.

Lattice parameters (Å, degrees): 7.5256 7.5256 7.5256 90.00 90.00 90.00
With the nearest neighbours (Å) after each atom.
Space group F-43m (No. 216)
Symmetry-distinct sites (fractional):
Ca 0.0000 0.0000 0.0000 [4 per cell]  4 Si 3.26, 4 Ge 3.26
Ac 0.0000 0.0000 0.5000 [4 per cell]  4 Ge 3.26, 4 Si 3.26
Si 0.2500 0.2500 0.2500 [4 per cell]  4 Ac 3.26, 4 Ca 3.26
Ge 0.2500 0.2500 0.7500 [4 per cell]  4 Ca 3.26, 4 Ac 3.26

---

What should be chosen as the most stable of them? Choose version A.

---

Version A
CaAcSnGe | PBE | relaxed

Computed properties:
The size of the total moment comes out at 0.00 μB/f.u. The density is 6.4 g/cm3.

Lattice parameters (Å, degrees): 7.8059 7.8059 7.8059 90.00 90.00 90.00
With the nearest neighbours (Å) after each atom.
Space group F-43m (No. 216)
Symmetry-distinct sites (fractional):
Ca 0.0000 0.0000 0.0000 [4 per cell]  4 Ge 3.38, 4 Sn 3.38
Ac 0.0000 0.0000 0.5000 [4 per cell]  4 Ge 3.38, 4 Sn 3.38
Sn 0.2500 0.2500 0.2500 [4 per cell]  4 Ac 3.38, 4 Ca 3.38
Ge 0.2500 0.2500 0.7500 [4 per cell]  4 Ca 3.38, 4 Ac 3.38

---

Version B
CaAcSnGe | PBE | relaxed

Computed properties:
The size of the total moment comes out at 0.00 μB/f.u. The density is 6.2 g/cm3.

Lattice parameters (Å, degrees): 4.2675 4.8143 11.8942 90.00 90.00 90.00
With the nearest neighbours (Å) after each atom.
Space group Amm2 (No. 38)
Symmetry-distinct sites (fractional):
Ca 0.0000 0.0000 0.0000 [2 per cell]  4 Sn 3.29, 3 Ge 3.33-3.56
Ac 0.5000 0.0000 0.2766 [2 per cell]  4 Ge 3.29, 3 Sn 3.36-3.53
Sn 0.5000 0.0000 0.5591 [2 per cell]  2 Ge 2.87
Ge 0.0000 0.0000 0.7204 [2 per cell]  2 Sn 2.87

---

What should be chosen as the most stable of them? Choose version B.

---

Version A
CaAcH4 | PBE | relaxed

Computed properties:
The size of the total moment comes out at 0.00 μB/f.u. The density is 5.0 g/cm3.

Lattice parameters (Å, degrees): 3.9594 3.9594 5.7740 90.00 90.00 90.00
With the nearest neighbours (Å) after each atom.
Space group P4/mmm (No. 123)
Symmetry-distinct sites (fractional):
Ca 0.0000 0.0000 0.0000 [1 per cell]  8 H 2.39
Ac 0.5000 0.5000 0.5000 [1 per cell]  8 H 2.51
H 0.0000 0.5000 0.2314 [4 per cell]  2 Ca 2.39, 2 Ac 2.51, 1 H 2.67

---

Version B
CaAcH4 | PBE | relaxed

Computed properties:
The size of the total moment comes out at 0.00 μB/f.u. The density is 4.9 g/cm3.

Lattice parameters (Å, degrees): 5.6626 5.6626 11.3654 90.00 90.00 90.00
With the nearest neighbours (Å) after each atom.
Space group I4_1/amd (No. 141, origin choice 2)
Symmetry-distinct sites (fractional):
Ca 0.0000 0.2500 0.3750 [4 per cell]  8 H 2.41
Ac 0.0000 0.2500 0.8750 [4 per cell]  8 H 2.50
H 0.2355 0.0000 0.5000 [16 per cell]  2 Ca 2.41, 2 Ac 2.50, 1 H 2.67

---

What should be chosen as the most stable of them? Choose version A.

---

Version A
CaAc2H | PBE | relaxed

Computed properties:
The size of the total moment comes out at 0.00 μB/f.u. The density is 6.3 g/cm3.

Lattice parameters (Å, degrees): 3.7085 3.7085 9.5265 90.00 90.00 90.00
With the nearest neighbours (Å) after each atom.
Space group P4/mmm (No. 123)
Symmetry-distinct sites (fractional):
Ca 0.0000 0.0000 0.0000 [1 per cell]  4 Ca 3.71, 8 Ac 3.99
Ac 0.5000 0.5000 0.3164 [2 per cell]  4 H 3.15, 1 Ac 3.50
H 0.0000 0.0000 0.5000 [1 per cell]  8 Ac 3.15

---

Version B
CaAc2H | PBE | relaxed

Computed properties:
The size of the total moment comes out at 0.00 μB/f.u. The density is 6.2 g/cm3.

Lattice parameters (Å, degrees): 3.9673 3.9673 29.2390 90.00 90.00 120.00
With the nearest neighbours (Å) after each atom.
Space group R3m (No. 160, hexagonal axes)
Symmetry-distinct sites (fractional):
Ca 0.0000 0.0000 0.0000 [3 per cell]  6 Ca 3.97, 6 Ac 4.03-4.05
Ac 0.0000 0.0000 0.5524 [3 per cell]  3 H 2.73
Ac 0.0000 0.0000 0.7800 [3 per cell]  3 H 2.80
H 0.0000 0.0000 0.1684 [3 per cell]  6 Ac 2.73-2.80

---

Version C
CaAc2H | PBE | relaxed

Computed properties:
The size of the total moment comes out at 0.00 μB/f.u. The density is 6.1 g/cm3.

Lattice parameters (Å, degrees): 3.9823 3.9823 29.2471 90.00 90.00 120.00
With the nearest neighbours (Å) after each atom.
Space group R-3m (No. 166, hexagonal axes)
Symmetry-distinct sites (fractional):
Ca 0.0000 0.0000 0.0000 [3 per cell]  6 Ca 3.98, 6 Ac 4.05
Ac 0.0000 0.0000 0.2193 [6 per cell]  3 H 2.77
H 0.0000 0.0000 0.5000 [3 per cell]  6 Ac 2.77

---

What should be chosen as the most stable of them? Choose version B.

---

Version A
CaAcHg4 | PBE | relaxed

Computed properties:
The size of the total moment comes out at 0.00 μB/f.u. The density is 10.5 g/cm3.

Lattice parameters (Å, degrees): 5.1074 7.6285 8.6969 90.00 90.00 90.00
With the nearest neighbours (Å) after each atom.
Space group Imm2 (No. 44)
Symmetry-distinct sites (fractional):
Ca 0.0000 0.0000 0.0000 [2 per cell]  12 Hg 3.45-3.52, 2 Ac 3.81
Ac 0.0000 0.5000 0.0027 [2 per cell]  12 Hg 3.48-3.49, 2 Ca 3.81
Hg 0.0000 0.2445 0.3336 [4 per cell]  3 Hg 2.91-2.93
Hg 0.0000 0.2482 0.6684 [4 per cell]  3 Hg 2.91-2.93

---

Version B
CaAcHg4 | PBE | relaxed

Computed properties:
The size of the total moment comes out at 0.00 μB/f.u. The density is 10.7 g/cm3.

Lattice parameters (Å, degrees): 8.7202 8.7202 8.7202 90.00 90.00 90.00
With the nearest neighbours (Å) after each atom.
Space group F-43m (No. 216)
Symmetry-distinct sites (fractional):
Ca 0.0000 0.0000 0.0000 [4 per cell]  12 Hg 3.61, 4 Ac 3.78
Ac 0.2500 0.2500 0.7500 [4 per cell]  12 Hg 3.62, 4 Ca 3.78
Hg 0.1251 0.1251 0.3749 [16 per cell]  6 Hg 3.08-3.09

---

What should be chosen as the most stable of them? Choose version A.

---

Version A
CaAcHg2 | PBE | relaxed

Computed properties:
The size of the total moment comes out at 0.00 μB/f.u. The density is 9.1 g/cm3.

Lattice parameters (Å, degrees): 5.5916 5.5916 3.9207 90.00 90.00 90.00
With the nearest neighbours (Å) after each atom.
Space group P4/mmm (No. 123)
Symmetry-distinct sites (fractional):
Ca 0.0000 0.0000 0.0000 [1 per cell]  8 Hg 3.41
Ac 0.5000 0.5000 0.0000 [1 per cell]  8 Hg 3.41
Hg 0.0000 0.5000 0.5000 [2 per cell]  4 Ac 3.41, 4 Ca 3.41

---

Version B
CaAcHg2 | PBE | relaxed

Computed properties:
The size of the total moment comes out at 0.00 μB/f.u. The density is 8.2 g/cm3.

Lattice parameters (Å, degrees): 4.2067 4.2067 26.6492 90.00 90.00 120.00
With the nearest neighbours (Å) after each atom.
Space group R3m (No. 160, hexagonal axes)
Symmetry-distinct sites (fractional):
Ca 0.0000 0.0000 0.0000 [3 per cell]  6 Hg 3.20
Ac 0.0000 0.0000 0.8327 [3 per cell]  6 Hg 3.37-3.39
Hg 0.0000 0.0000 0.4116 [3 per cell]  3 Ca 3.20, 3 Ac 3.37
Hg 0.0000 0.0000 0.5884 [3 per cell]  3 Ca 3.20, 3 Ac 3.39

---

What should be chosen as the most stable of them? Choose version A.

---

Version A
Ca3AcHg | PBE | relaxed

Computed properties:
The size of the total moment comes out at 0.00 μB/f.u. The density is 4.5 g/cm3.

Lattice parameters (Å, degrees): 12.7430 9.9027 8.0733 90.00 127.50 90.00
With the nearest neighbours (Å) after each atom.
Space group C2/m (No. 12)
Symmetry-distinct sites (fractional):
Ca 0.0482 0.0000 0.3280 [4 per cell]  1 Hg 3.07
Ca 0.2473 0.2986 0.7801 [8 per cell]  2 Hg 3.07-3.33
Ac 0.0592 0.5000 0.2771 [4 per cell]  2 Hg 3.22-3.41
Hg 0.2496 0.0000 0.8867 [4 per cell]  5 Ca 3.07-3.33, 2 Ac 3.22-3.41

---

Version B
Ca3AcHg | PBE | relaxed

Computed properties:
The size of the total moment comes out at 0.00 μB/f.u. The density is 4.7 g/cm3.

Lattice parameters (Å, degrees): 4.0655 7.9698 12.0241 90.00 99.61 90.00
With the nearest neighbours (Å) after each atom.
Space group P2_1/m (No. 11)
Symmetry-distinct sites (fractional):
Ca 0.0077 0.2500 0.0154 [2 per cell]  1 Hg 3.49, 4 Ca 3.83-3.84
Ca 0.3884 0.0180 0.7776 [4 per cell]  2 Hg 3.12-3.13
Ac 0.2357 0.7500 0.4708 [2 per cell]  2 Hg 3.30
Hg 0.1552 0.2500 0.3098 [2 per cell]  5 Ca 3.12-3.49, 2 Ac 3.30

---

What should be chosen as the most stable of them? Choose version B.

---

Version A
CaAcPmHg | PBE | relaxed

Computed properties:
The size of the total moment comes out at 0.00 μB/f.u. The density is 7.6 g/cm3.

Lattice parameters (Å, degrees): 8.1279 8.1279 8.1279 90.00 90.00 90.00
With the nearest neighbours (Å) after each atom.
Space group F-43m (No. 216)
Symmetry-distinct sites (fractional):
Ca 0.0000 0.0000 0.0000 [4 per cell]  4 Hg 3.52, 4 Ac 3.52
Ac 0.2500 0.2500 0.7500 [4 per cell]  4 Ca 3.52, 4 Pm 3.52
Pm 0.0000 0.0000 0.5000 [4 per cell]  4 Ac 3.52, 4 Hg 3.52
Hg 0.2500 0.2500 0.2500 [4 per cell]  4 Ca 3.52, 4 Pm 3.52

---

Version B
CaAcPmHg | PBE | relaxed

Computed properties:
The size of the total moment comes out at 0.00 μB/f.u. The density is 7.3 g/cm3.

Lattice parameters (Å, degrees): 3.7934 3.7934 9.6308 90.00 90.00 90.00
With the nearest neighbours (Å) after each atom.
Space group P4mm (No. 99)
Symmetry-distinct sites (fractional):
Ca 0.0000 0.0000 0.0000 [1 per cell]  4 Hg 3.30
Ac 0.5000 0.5000 0.3224 [1 per cell]  4 Ac 3.79, 4 Pm 3.81, 4 Ca 4.10
Pm 0.0000 0.0000 0.6033 [1 per cell]  4 Hg 3.29
Hg 0.5000 0.5000 0.8011 [1 per cell]  4 Pm 3.29, 4 Ca 3.30

---

What should be chosen as the most stable of them? Choose version B.

---

Version A
CaAcSmHg | PBE | relaxed

Computed properties:
The size of the total moment comes out at 0.00 μB/f.u. The density is 7.4 g/cm3.

Lattice parameters (Å, degrees): 3.7852 3.7852 9.6165 90.00 90.00 90.00
With the nearest neighbours (Å) after each atom.
Space group P4mm (No. 99)
Symmetry-distinct sites (fractional):
Ca 0.0000 0.0000 0.0000 [1 per cell]  4 Hg 3.30
Ac 0.5000 0.5000 0.3235 [1 per cell]  4 Ac 3.79, 4 Sm 3.80, 4 Ca 4.10
Sm 0.0000 0.0000 0.6041 [1 per cell]  4 Hg 3.27
Hg 0.5000 0.5000 0.7994 [1 per cell]  4 Sm 3.27, 4 Ca 3.30

---

Version B
CaAcSmHg | PBE | relaxed

Computed properties:
The size of the total moment comes out at 0.00 μB/f.u. The density is 7.7 g/cm3.

Lattice parameters (Å, degrees): 8.1136 8.1136 8.1136 90.00 90.00 90.00
With the nearest neighbours (Å) after each atom.
Space group F-43m (No. 216)
Symmetry-distinct sites (fractional):
Ca 0.0000 0.0000 0.0000 [4 per cell]  4 Hg 3.51, 4 Ac 3.51
Ac 0.2500 0.2500 0.2500 [4 per cell]  4 Ca 3.51, 4 Sm 3.51
Sm 0.0000 0.0000 0.5000 [4 per cell]  4 Hg 3.51, 4 Ac 3.51
Hg 0.2500 0.2500 0.7500 [4 per cell]  4 Ca 3.51, 4 Sm 3.51

---

What should be chosen as the most stable of them? Choose version A.

---

Version A
CaAcTbHg | PBE | relaxed

Computed properties:
The size of the total moment comes out at 0.00 μB/f.u. The density is 7.9 g/cm3.

Lattice parameters (Å, degrees): 8.0681 8.0681 8.0681 90.00 90.00 90.00
With the nearest neighbours (Å) after each atom.
Space group F-43m (No. 216)
Symmetry-distinct sites (fractional):
Ca 0.0000 0.0000 0.0000 [4 per cell]  4 Hg 3.49, 4 Ac 3.49
Ac 0.2500 0.2500 0.7500 [4 per cell]  4 Tb 3.49, 4 Ca 3.49
Tb 0.0000 0.0000 0.5000 [4 per cell]  4 Hg 3.49, 4 Ac 3.49
Hg 0.2500 0.2500 0.2500 [4 per cell]  4 Tb 3.49, 4 Ca 3.49

---

Version B
CaAcTbHg | PBE | relaxed

Computed properties:
The size of the total moment comes out at 0.00 μB/f.u. The density is 7.7 g/cm3.

Lattice parameters (Å, degrees): 3.7625 3.7625 9.5628 90.00 90.00 90.00
With the nearest neighbours (Å) after each atom.
Space group P4mm (No. 99)
Symmetry-distinct sites (fractional):
Ca 0.0000 0.0000 0.0000 [1 per cell]  4 Hg 3.31
Ac 0.5000 0.5000 0.3268 [1 per cell]  4 Ac 3.76, 4 Tb 3.77, 4 Ca 4.10
Tb 0.0000 0.0000 0.6068 [1 per cell]  4 Hg 3.21
Hg 0.5000 0.5000 0.7940 [1 per cell]  4 Tb 3.21, 4 Ca 3.31

---

What should be chosen as the most stable of them? Choose version B.